Record 1
VASP calculation (PBE-GGA) on a geometry-optimized SrCa2Y2 structure.

extended XYZ file:
```
5
Lattice="-1.962 0.762 -4.062 -2.501 -3.798 0.496 -9.649 3.968 2.829" Properties=species:S:1:pos:R:3 pbc="T T T"
Ca -10.278 1.265 0.050
Ca -3.834 -0.333 -0.787
Y -7.191 -0.674 0.771
Y -6.921 1.606 -1.508
Sr 0.000 0.000 0.000
```

Symmetry: I4/mmm (139)
Distance to the lowest polymorph of the same formula (eV per atom): 0.149
Density of states at the Fermi level (states/eV/atom): 2.11
ΔE_f (meV per atom): 338.2

***

Record 2
VASP calculation (PBE-GGA) on a geometry-optimized K3Cd7Pt2 structure.

extended XYZ file:
```
12
Lattice="-1.249 5.165 0.278 -4.542 -1.232 2.484 9.499 -1.043 11.152" Properties=species:S:1:pos:R:3 pbc="T T T"
Cd 0.613 2.756 2.488
Cd 2.489 0.348 4.725
Cd -1.034 -0.443 3.591
Cd 0.000 0.000 0.000
Cd 3.094 0.134 11.425
Cd 1.218 2.542 9.188
Cd 4.741 3.333 10.322
Pt 2.465 2.716 11.556
Pt 1.242 0.174 2.357
K -2.896 1.967 1.381
K 4.145 0.580 7.868
K -0.438 2.310 6.045
```

Symmetry: I4/mmm (139)
Density of states at the Fermi level (states/eV/atom): 0.27
ΔE_f (meV per atom): -182.6

***

Record 3
VASP calculation (PBE-GGA) on a geometry-optimized ReRhW structure.

extended XYZ file:
```
3
Lattice="-1.370 1.370 6.024 1.370 -1.370 6.024 1.370 1.370 -6.024" Properties=species:S:1:pos:R:3 pbc="T T T"
W 0.000 0.000 3.981
Re 0.000 0.000 0.059
Rh 0.000 0.000 8.007
```

Symmetry: I4mm (107)
Distance to the lowest polymorph of the same formula (eV per atom): 0.000
Density of states at the Fermi level (states/eV/atom): 1.23
ΔE_f (meV per atom): 12.2

***

Record 4
VASP calculation (PBE-GGA) on a geometry-optimized Ca2ZnN structure.

extended XYZ file:
```
4
Lattice="3.114 0.000 0.000 0.000 3.114 0.000 0.000 0.000 7.721" Properties=species:S:1:pos:R:3 pbc="T T T"
Zn 1.557 1.557 0.000
N 1.557 1.557 3.861
Ca 0.000 0.000 2.556
Ca 0.000 0.000 5.165
```

Symmetry: P4/mmm (123)
Distance to the lowest polymorph of the same formula (eV per atom): 0.146
Density of states at the Fermi level (states/eV/atom): 0.45
E_form (uncorrected) (meV/atom): -288

***

Record 5
VASP calculation (PBE-GGA) on a geometry-optimized LaIN2F structure.

extended XYZ file:
```
5
Lattice="-3.321 -1.608 -2.877 -2.669 -1.084 3.687 -1.709 3.763 -0.131" Properties=species:S:1:pos:R:3 pbc="T T T"
F 0.000 0.000 0.000
N -1.661 -0.804 -1.438
N -1.334 -0.542 1.844
La -3.850 0.535 0.340
I -0.855 1.881 -0.065
```

Symmetry: P4/mmm (123)
Distance to the lowest polymorph of the same formula (eV per atom): 0.823
Density of states at the Fermi level (states/eV/atom): 0.68
E_form (uncorrected) (meV/atom): 774

***

Record 6
VASP calculation (PBE-GGA) on a geometry-optimized ScN2Cl structure.

extended XYZ file:
```
4
Lattice="-4.049 -2.755 3.692 -2.195 -0.745 5.678 -4.734 0.549 3.861" Properties=species:S:1:pos:R:3 pbc="T T T"
N -9.805 -2.636 11.819
N -1.172 -0.315 1.413
Sc -5.489 -1.475 6.616
Cl 0.000 0.000 0.000
```

Symmetry: R-3m (166)
Distance to the lowest polymorph of the same formula (eV per atom): 0.000
Density of states at the Fermi level (states/eV/atom): 0.93
E_form (uncorrected) (meV/atom): 78

***

Record 7
VASP calculation (PBE-GGA) on a geometry-optimized Hf2VBi structure.

extended XYZ file:
```
8
Lattice="3.342 -0.002 0.001 0.003 6.191 0.763 -1.682 -1.046 8.493" Properties=species:S:1:pos:R:3 pbc="T T T"
Bi 0.855 5.089 5.551
Bi -0.813 1.995 5.166
Hf 0.012 0.124 7.594
Hf 1.694 3.864 2.744
Hf 0.013 3.220 7.975
Hf 1.693 0.768 2.362
V 0.024 5.614 1.303
V 0.023 2.518 0.922
```

Symmetry: Pm (6)
Distance to the lowest polymorph of the same formula (eV per atom): 0.043
Density of states at the Fermi level (states/eV/atom): 0.70
ΔE_f (meV per atom): 71.9

***

Record 8
VASP calculation (PBE-GGA) on a geometry-optimized SrHf2Au structure.

extended XYZ file:
```
4
Lattice="0.000 3.558 3.558 3.558 0.000 3.558 3.558 3.558 0.000" Properties=species:S:1:pos:R:3 pbc="T T T"
Sr 0.000 0.000 0.000
Hf 5.336 5.336 5.336
Hf 1.779 1.779 1.779
Au 3.558 3.558 3.558
```

Symmetry: Fm-3m (225)
Distance to the lowest polymorph of the same formula (eV per atom): 0.092
Density of states at the Fermi level (states/eV/atom): 1.58
ΔE_f (meV per atom): 466.4